# AcVGaO6

Crystalline AcVGaO6 at its relaxed geometry (GGA+U, Alexandria via LeMat-Bulk).

Cell: 5.180 5.180 5.280 Å, 90.00 90.00 120.00°
Sites, in units of the cell vectors:
Ac (0.000, 0.000, 0.000)
V (0.667, 0.333, 0.500)
Ga (0.333, 0.667, 0.500)
O (0.393, 0.013, 0.706)
O (0.393, 0.380, 0.294)
O (0.620, 0.013, 0.294)
O (0.620, 0.607, 0.706)
O (0.987, 0.380, 0.706)
O (0.987, 0.607, 0.294)

Computed properties:
**Magnetization**: 0.11 μB/atom
**SG**: P312
**Raw total energy**: -0.259 Ha/atom